A plane-wave DFT calculation with meta-GGA SCAN was carried out for a PBEsol-optimized structure of Y2ZnAu.

Cell lengths 3.6743, 4.5625, 5.5173 Å; angles 90.00, 102.41, 90.00 degrees
Element x y z (fractional)
Y  0.9862  0.0000  0.9099
Y  0.7631  0.5000  0.3449
Zn  0.3150  0.0000  0.4636
Au  0.4356  0.5000  0.7816

Calculated total energy = -141.579 eV per formula unit
Space-group type = Pm
D(E_F) = 0.647 states/eV/atom
Formation energy = -0.805 eV per atom